Entry 1:
TmCo12: optimized geometry, PBE.

Calculated values
Energy relative to the elements: -82.5 kJ/mol of formula units
Space group: I4/mmm

abc: 6.2318 6.2318 6.2318
angles: 97.83 97.83 136.69
Each line ends with the local moment (μB).
Element x y z (fractional)
Co (0.5000, 0.0000, 0.0000)  1.56
Co (0.0000, 0.5000, 0.0000)  1.55
Co (0.7232, 0.5000, 0.2232)  1.55
Co (0.5000, 0.7232, 0.2232)  1.54
Co (0.3578, 0.0000, 0.3578)  1.63
Co (0.0000, 0.3578, 0.3578)  1.63
Co (0.0000, 0.0000, 0.5000)  1.56
Co (0.5000, 0.5000, 0.5000)  1.55
Co (0.6422, 0.0000, 0.6422)  1.63
Co (0.0000, 0.6422, 0.6422)  1.63
Co (0.5000, 0.2768, 0.7768)  1.54
Co (0.2768, 0.5000, 0.7768)  1.55
Tm (0.0000, 0.0000, 0.0000)  -0.41

Entry 2:
ZrSiS4: optimized geometry, PBE.

Calculated values
Space group: Cmc2_1

abc: 7.9256 7.9256 9.9363
angles: 90.00 90.00 154.02
Element x y z (fractional)
S (0.2292, 0.7708, 0.1912)
S (0.4666, 0.5334, 0.2570)
S (0.4005, 0.5995, 0.4407)
S (0.1315, 0.8685, 0.4979)
S (0.7708, 0.2292, 0.6912)
S (0.5334, 0.4666, 0.7570)
S (0.5995, 0.4005, 0.9407)
S (0.8685, 0.1315, 0.9979)
Si (0.7234, 0.2766, 0.4813)
Si (0.2766, 0.7234, 0.9813)
Zr (0.8434, 0.1566, 0.2709)
Zr (0.1566, 0.8434, 0.7709)

Entry 3:
NaZnB3H12: optimized geometry, PBE.

Calculated values
Space group: P2_1/c
Distance to the lowest polymorph of the same formula: 8 meV per atom

abc: 8.2419 4.1013 18.1205
angles: 90.00 98.17 90.00
Element x y z (fractional)
B (0.2689, 0.1320, 0.0123)
B (0.0076, 0.4254, 0.1540)
B (0.5929, 0.7782, 0.1718)
B (0.4071, 0.2782, 0.3282)
B (0.9924, 0.9254, 0.3460)
B (0.7311, 0.6320, 0.4877)
B (0.2689, 0.3680, 0.5123)
B (0.0076, 0.0746, 0.6540)
B (0.5929, 0.7218, 0.6718)
B (0.4071, 0.2218, 0.8282)
B (0.9924, 0.5746, 0.8460)
B (0.7311, 0.8680, 0.9877)
H (0.8379, 0.6723, 0.0182)
H (0.6882, 0.0865, 0.0282)
H (0.3897, 0.2949, 0.0332)
H (0.2007, 0.9966, 0.0589)
H (0.0736, 0.5926, 0.1112)
H (0.9452, 0.1934, 0.1156)
H (0.6165, 0.5902, 0.1208)
H (0.4544, 0.8798, 0.1539)
H (0.6850, 0.0204, 0.1796)
H (0.9012, 0.5674, 0.1844)
H (0.1003, 0.3299, 0.2074)
H (0.6122, 0.6201, 0.2290)
H (0.3878, 0.1201, 0.2710)
H (0.8997, 0.8299, 0.2926)
H (0.0988, 0.0674, 0.3156)
H (0.3150, 0.5204, 0.3204)
H (0.5456, 0.3798, 0.3461)
H (0.3835, 0.0902, 0.3792)
H (0.0548, 0.6934, 0.3844)
H (0.9264, 0.0925, 0.3888)
H (0.7993, 0.4966, 0.4411)
H (0.6103, 0.7949, 0.4668)
H (0.3118, 0.5865, 0.4718)
H (0.1621, 0.1723, 0.4818)
H (0.8379, 0.8277, 0.5182)
H (0.6882, 0.4135, 0.5282)
H (0.3897, 0.2051, 0.5332)
H (0.2007, 0.5034, 0.5589)
H (0.0736, 0.9074, 0.6112)
H (0.9452, 0.3066, 0.6156)
H (0.6165, 0.9098, 0.6208)
H (0.4544, 0.6202, 0.6539)
H (0.6850, 0.4796, 0.6796)
H (0.9012, 0.9326, 0.6844)
H (0.1003, 0.1701, 0.7074)
H (0.6122, 0.8799, 0.7290)
H (0.3878, 0.3799, 0.7710)
H (0.8997, 0.6701, 0.7926)
H (0.0988, 0.4326, 0.8156)
H (0.3150, 0.9796, 0.8204)
H (0.5456, 0.1202, 0.8461)
H (0.3835, 0.4098, 0.8792)
H (0.0548, 0.8066, 0.8844)
H (0.9264, 0.4074, 0.8888)
H (0.7993, 0.0034, 0.9411)
H (0.6103, 0.7051, 0.9668)
H (0.3118, 0.9135, 0.9718)
H (0.1621, 0.3277, 0.9818)
Na (0.3373, 0.3726, 0.1516)
Na (0.6627, 0.8726, 0.3484)
Na (0.3373, 0.1274, 0.6516)
Na (0.6627, 0.6274, 0.8484)
Zn (0.8124, 0.8386, 0.1086)
Zn (0.1876, 0.3386, 0.3914)
Zn (0.8124, 0.6614, 0.6086)
Zn (0.1876, 0.1614, 0.8914)

Entry 4:
Rb2CdGeBr6: optimized geometry, PBE.

Calculated values
Space group: Fm-3m

abc: 7.8759 7.8759 7.8759
angles: 60.00 60.00 60.00
Element x y z (fractional)
Br (0.2507, 0.7493, 0.2507)
Br (0.7493, 0.2507, 0.2507)
Br (0.7493, 0.7493, 0.2507)
Br (0.2507, 0.7493, 0.7493)
Br (0.2507, 0.2507, 0.7493)
Br (0.7493, 0.2507, 0.7493)
Cd (0.0000, 0.0000, 0.0000)
Ge (0.5000, 0.5000, 0.5000)
Rb (0.2500, 0.2500, 0.2500)
Rb (0.7500, 0.7500, 0.7500)

Number 1: total DFT energy (no corrections) -6.97 eV/atom. Number 2: total DFT energy (no corrections) -6.00 eV/atom. Number 3: total DFT energy (no corrections) -3.84 eV/atom. Number 4: total DFT energy (no corrections) -2.87 eV/atom.